# SrSn2Hg2 (SCAN, single point on PBEsol structure)
data_SrSn2Hg2
_chemical_formula_sum 'Sr2 Sn4 Hg4'
_space_group_name_H-M_alt 'I 4/m m m'
_space_group_IT_number 139
_space_group_name_Hall '-I 4 2'
_cell_length_a 4.7145
_cell_length_b 4.7145
_cell_length_c 12.4233
_cell_angle_alpha 90.00
_cell_angle_beta 90.00
_cell_angle_gamma 90.00
loop_
_atom_site_label
_atom_site_fract_x
_atom_site_fract_y
_atom_site_fract_z
Sr1 0.0000 0.0000 0.0000
Sn1 0.0000 0.5000 0.2500
Hg1 0.0000 0.0000 0.3910
# Crystal system: tetragonal
# Volume in Å³/f.u.: 138.1
# Energy of formation from the pure elements in meV/atom: -397
# DOS(E_F) in states/eV per atom: 0.210

---

# SrSn2Hg2 (SCAN, single point on PBEsol structure)
data_SrSn2Hg2
_chemical_formula_sum 'Sr4 Sn8 Hg8'
_space_group_name_H-M_alt 'C 1 2/m 1'
_space_group_IT_number 12
_space_group_name_Hall '-C 2y'
_cell_length_a 12.5145
_cell_length_b 4.9441
_cell_length_c 9.9156
_cell_angle_alpha 90.00
_cell_angle_beta 117.92
_cell_angle_gamma 90.00
loop_
_atom_site_label
_atom_site_fract_x
_atom_site_fract_y
_atom_site_fract_z
Sr1 0.1708 0.0000 0.2155
Sn1 0.0635 0.5000 0.9086
Sn2 0.1282 0.0000 0.5599
Hg1 0.1088 0.5000 0.4109
Hg2 0.1603 0.0000 0.8624
# Crystal system: monoclinic
# Volume in Å³/f.u.: 135.5
# Energy of formation from the pure elements in meV/atom: -470
# DOS(E_F) in states/eV per atom: 0.195

---

# Sr2TaSnHg (SCAN, single point on PBEsol structure)
data_Sr2TaSnHg
_chemical_formula_sum 'Sr2 Ta1 Sn1 Hg1'
_space_group_name_H-M_alt 'P 4/m m m'
_space_group_IT_number 123
_space_group_name_Hall '-P 4 2'
_cell_length_a 5.8880
_cell_length_b 5.8880
_cell_length_c 5.1118
_cell_angle_alpha 90.00
_cell_angle_beta 90.00
_cell_angle_gamma 90.00
loop_
_atom_site_label
_atom_site_fract_x
_atom_site_fract_y
_atom_site_fract_z
Sr1 0.0000 0.5000 0.0000
Ta1 0.0000 0.0000 0.5000
Sn1 0.5000 0.5000 0.5000
Hg1 0.0000 0.0000 0.0000
# Crystal system: tetragonal
# Volume in Å³/f.u.: 177.2
# Energy of formation from the pure elements in meV/atom: 554
# DOS(E_F) in states/eV per atom: 0.921

---

# TaSnHg3 (SCAN, single point on PBEsol structure)
data_TaSnHg3
_chemical_formula_sum 'Ta1 Sn1 Hg3'
_space_group_name_H-M_alt 'P m -3 m'
_space_group_IT_number 221
_space_group_name_Hall '-P 4 2 3'
_cell_length_a 5.2575
_cell_length_b 5.2575
_cell_length_c 5.2575
_cell_angle_alpha 90.00
_cell_angle_beta 90.00
_cell_angle_gamma 90.00
loop_
_atom_site_label
_atom_site_fract_x
_atom_site_fract_y
_atom_site_fract_z
Ta1 0.0000 0.0000 0.0000
Sn1 0.5000 0.5000 0.5000
Hg1 0.0000 0.0000 0.5000
# Crystal system: cubic
# Volume in Å³/f.u.: 145.3
# Energy of formation from the pure elements in meV/atom: 806
# DOS(E_F) in states/eV per atom: 0.487

---

# Ta3SnHg (SCAN, single point on PBEsol structure)
data_Ta3SnHg
_chemical_formula_sum 'Ta3 Sn1 Hg1'
_space_group_name_H-M_alt 'P m -3 m'
_space_group_IT_number 221
_space_group_name_Hall '-P 4 2 3'
_cell_length_a 4.9649
_cell_length_b 4.9649
_cell_length_c 4.9649
_cell_angle_alpha 90.00
_cell_angle_beta 90.00
_cell_angle_gamma 90.00
loop_
_atom_site_label
_atom_site_fract_x
_atom_site_fract_y
_atom_site_fract_z
Ta1 0.0000 0.0000 0.5000
Sn1 0.5000 0.5000 0.5000
Hg1 0.0000 0.0000 0.0000
# Crystal system: cubic
# Volume in Å³/f.u.: 122.4
# Energy of formation from the pure elements in meV/atom: 1971
# DOS(E_F) in states/eV per atom: 0.835

---

# SnHgTe2 (SCAN, single point on PBEsol structure)
data_SnHgTe2
_chemical_formula_sum 'Sn3 Hg3 Te6'
_space_group_name_H-M_alt 'R -3 m'
_space_group_IT_number 166
_space_group_name_Hall '-R 3 2"'
_cell_length_a 3.2447
_cell_length_b 3.2447
_cell_length_c 36.1686
_cell_angle_alpha 90.00
_cell_angle_beta 90.00
_cell_angle_gamma 120.00
loop_
_atom_site_label
_atom_site_fract_x
_atom_site_fract_y
_atom_site_fract_z
Sn1 0.0000 0.0000 0.0000
Hg1 0.0000 0.0000 0.5000
Te1 0.0000 0.0000 0.2527
# Crystal system: trigonal
# Volume in Å³/f.u.: 109.9
# DOS(E_F) in states/eV per atom: 0.760
# Formation energy without anion corrections in meV per atom: 222

---

# ZrSnHg2Te (SCAN, single point on PBEsol structure)
data_ZrSnHg2Te
_chemical_formula_sum 'Zr1 Sn1 Hg2 Te1'
_space_group_name_H-M_alt 'P 4/m m m'
_space_group_IT_number 123
_space_group_name_Hall '-P 4 2'
_cell_length_a 5.3062
_cell_length_b 5.3062
_cell_length_c 5.7906
_cell_angle_alpha 90.00
_cell_angle_beta 90.00
_cell_angle_gamma 90.00
loop_
_atom_site_label
_atom_site_fract_x
_atom_site_fract_y
_atom_site_fract_z
Zr1 0.0000 0.0000 0.0000
Sn1 0.5000 0.5000 0.0000
Hg1 0.0000 0.5000 0.5000
Te1 0.5000 0.5000 0.5000
# Crystal system: tetragonal
# Volume in Å³/f.u.: 163.0
# DOS(E_F) in states/eV per atom: 1.094
# Formation energy without anion corrections in meV per atom: 916

---

# Sn3HgW (SCAN, single point on PBEsol structure)
data_Sn3HgW
_chemical_formula_sum 'Sn3 Hg1 W1'
_space_group_name_H-M_alt 'P m -3 m'
_space_group_IT_number 221
_space_group_name_Hall '-P 4 2 3'
_cell_length_a 5.3276
_cell_length_b 5.3276
_cell_length_c 5.3276
_cell_angle_alpha 90.00
_cell_angle_beta 90.00
_cell_angle_gamma 90.00
loop_
_atom_site_label
_atom_site_fract_x
_atom_site_fract_y
_atom_site_fract_z
Sn1 0.0000 0.0000 0.5000
Hg1 0.0000 0.0000 0.0000
W1 0.5000 0.5000 0.5000
# Crystal system: cubic
# Volume in Å³/f.u.: 151.2
# Energy of formation from the pure elements in meV/atom: 1768
# DOS(E_F) in states/eV per atom: 0.580

---

# Y2Sn2Hg (SCAN, single point on PBEsol structure)
data_Y2Sn2Hg
_chemical_formula_sum 'Y4 Sn4 Hg2'
_space_group_name_H-M_alt 'P 4/m b m'
_space_group_IT_number 127
_space_group_name_Hall '-P 4 2ab'
_cell_length_a 7.5371
_cell_length_b 7.5371
_cell_length_c 4.4396
_cell_angle_alpha 90.00
_cell_angle_beta 90.00
_cell_angle_gamma 90.00
loop_
_atom_site_label
_atom_site_fract_x
_atom_site_fract_y
_atom_site_fract_z
Y1 0.1724 0.3276 0.0000
Sn1 0.1324 0.6324 0.5000
Hg1 0.0000 0.0000 0.5000
# Crystal system: tetragonal
# Relative energy among the computed polymorphs in eV per atom: 0.000
# Volume in Å³/f.u.: 126.1
# Energy of formation from the pure elements in meV/atom: -690
# DOS(E_F) in states/eV per atom: 0.296

---

# Y2Sn2Hg (SCAN, single point on PBEsol structure)
data_Y2Sn2Hg
_chemical_formula_sum 'Y4 Sn4 Hg2'
_space_group_name_H-M_alt 'I 4/m m m'
_space_group_IT_number 139
_space_group_name_Hall '-I 4 2'
_cell_length_a 5.8410
_cell_length_b 5.8410
_cell_length_c 8.8657
_cell_angle_alpha 90.00
_cell_angle_beta 90.00
_cell_angle_gamma 90.00
loop_
_atom_site_label
_atom_site_fract_x
_atom_site_fract_y
_atom_site_fract_z
Y1 0.0000 0.5000 0.2500
Sn1 0.0000 0.0000 0.1643
Hg1 0.0000 0.0000 0.5000
# Crystal system: tetragonal
# Relative energy among the computed polymorphs in eV per atom: 0.441
# Volume in Å³/f.u.: 151.2
# Energy of formation from the pure elements in meV/atom: -249
# DOS(E_F) in states/eV per atom: 0.618

---

# ZnSn3Hg (SCAN, single point on PBEsol structure)
data_ZnSn3Hg
_chemical_formula_sum 'Zn1 Sn3 Hg1'
_space_group_name_H-M_alt 'P m -3 m'
_space_group_IT_number 221
_space_group_name_Hall '-P 4 2 3'
_cell_length_a 5.1499
_cell_length_b 5.1499
_cell_length_c 5.1499
_cell_angle_alpha 90.00
_cell_angle_beta 90.00
_cell_angle_gamma 90.00
loop_
_atom_site_label
_atom_site_fract_x
_atom_site_fract_y
_atom_site_fract_z
Zn1 0.0000 0.0000 0.0000
Sn1 0.0000 0.0000 0.5000
Hg1 0.5000 0.5000 0.5000
# Crystal system: cubic
# Volume in Å³/f.u.: 136.6
# Energy of formation from the pure elements in meV/atom: 421
# DOS(E_F) in states/eV per atom: 0.498

---

# Sr8Hg (SCAN, single point on PBEsol structure)
data_Sr8Hg
_chemical_formula_sum 'Sr16 Hg2'
_space_group_name_H-M_alt 'I 4/m m m'
_space_group_IT_number 139
_space_group_name_Hall '-I 4 2'
_cell_length_a 13.6479
_cell_length_b 13.6479
_cell_length_c 4.4072
_cell_angle_alpha 90.00
_cell_angle_beta 90.00
_cell_angle_gamma 90.00
loop_
_atom_site_label
_atom_site_fract_x
_atom_site_fract_y
_atom_site_fract_z
Sr1 0.0000 0.3349 0.0000
Sr2 0.1453 0.1453 0.5000
Hg1 0.0000 0.0000 0.0000
# Crystal system: tetragonal
# Volume in Å³/f.u.: 410.5
# Energy of formation from the pure elements in meV/atom: -74
# DOS(E_F) in states/eV per atom: 0.889

---

# SrHg2 (SCAN, single point on PBEsol structure)
data_SrHg2
_chemical_formula_sum 'Sr4 Hg8'
_space_group_name_H-M_alt 'C 1 2/m 1'
_space_group_IT_number 12
_space_group_name_Hall '-C 2y'
_cell_length_a 10.5204
_cell_length_b 4.9207
_cell_length_c 6.3818
_cell_angle_alpha 90.00
_cell_angle_beta 90.30
_cell_angle_gamma 90.00
loop_
_atom_site_label
_atom_site_fract_x
_atom_site_fract_y
_atom_site_fract_z
Sr1 0.1901 0.0000 0.2483
Hg1 0.0000 0.5000 0.0000
Hg2 0.0000 0.5000 0.5000
Hg3 0.1147 0.0000 0.7475
# Crystal system: monoclinic
# Volume in Å³/f.u.: 82.6
# Energy of formation from the pure elements in meV/atom: -570
# DOS(E_F) in states/eV per atom: 0.572

---

# SrHg3 (SCAN, single point on PBEsol structure)
data_SrHg3
_chemical_formula_sum 'Sr2 Hg6'
_space_group_name_H-M_alt 'I 4/m m m'
_space_group_IT_number 139
_space_group_name_Hall '-I 4 2'
_cell_length_a 4.9283
_cell_length_b 4.9283
_cell_length_c 8.3728
_cell_angle_alpha 90.00
_cell_angle_beta 90.00
_cell_angle_gamma 90.00
loop_
_atom_site_label
_atom_site_fract_x
_atom_site_fract_y
_atom_site_fract_z
Sr1 0.0000 0.0000 0.0000
Hg1 0.0000 0.0000 0.5000
Hg2 0.0000 0.5000 0.2500
# Crystal system: tetragonal
# Volume in Å³/f.u.: 101.7
# Energy of formation from the pure elements in meV/atom: -496
# DOS(E_F) in states/eV per atom: 0.427

---

# SrHg2 (SCAN, single point on PBEsol structure)
data_SrHg2
_chemical_formula_sum 'Sr4 Hg8'
_space_group_name_H-M_alt 'P n m a'
_space_group_IT_number 62
_space_group_name_Hall '-P 2ac 2n'
_cell_length_a 6.5809
_cell_length_b 5.5739
_cell_length_c 8.9748
_cell_angle_alpha 90.00
_cell_angle_beta 90.00
_cell_angle_gamma 90.00
loop_
_atom_site_label
_atom_site_fract_x
_atom_site_fract_y
_atom_site_fract_z
Sr1 0.1946 0.2500 0.0929
Hg1 0.0271 0.7500 0.2595
Hg2 0.1899 0.2500 0.4469
# Crystal system: orthorhombic
# Volume in Å³/f.u.: 82.3
# Energy of formation from the pure elements in meV/atom: -579
# DOS(E_F) in states/eV per atom: 0.590

---

# SrHg3 (SCAN, single point on PBEsol structure)
data_SrHg3
_chemical_formula_sum 'Sr1 Hg3'
_space_group_name_H-M_alt 'P 4/m m m'
_space_group_IT_number 123
_space_group_name_Hall '-P 4 2'
_cell_length_a 3.8745
_cell_length_b 3.8745
_cell_length_c 6.9234
_cell_angle_alpha 90.00
_cell_angle_beta 90.00
_cell_angle_gamma 90.00
loop_
_atom_site_label
_atom_site_fract_x
_atom_site_fract_y
_atom_site_fract_z
Sr1 0.0000 0.0000 0.0000
Hg1 0.0000 0.0000 0.5000
Hg2 0.5000 0.5000 0.2767
# Crystal system: tetragonal
# Volume in Å³/f.u.: 103.9
# Energy of formation from the pure elements in meV/atom: -451
# DOS(E_F) in states/eV per atom: 0.375

---

# SrHg2 (SCAN, single point on PBEsol structure)
data_SrHg2
_chemical_formula_sum 'Sr2 Hg4'
_space_group_name_H-M_alt 'P 63/m m c'
_space_group_IT_number 194
_space_group_name_Hall '-P 6c 2c'
_cell_length_a 5.3934
_cell_length_b 5.3934
_cell_length_c 6.5188
_cell_angle_alpha 90.00
_cell_angle_beta 90.00
_cell_angle_gamma 120.00
loop_
_atom_site_label
_atom_site_fract_x
_atom_site_fract_y
_atom_site_fract_z
Sr1 0.3333 0.6667 0.2500
Hg1 0.0000 0.0000 0.0000
Hg2 0.3333 0.6667 0.7500
# Crystal system: hexagonal
# Volume in Å³/f.u.: 82.1
# Energy of formation from the pure elements in meV/atom: -563
# DOS(E_F) in states/eV per atom: 0.635

---

# SrHg3 (SCAN, single point on PBEsol structure)
data_SrHg3
_chemical_formula_sum 'Sr1 Hg3'
_space_group_name_H-M_alt 'P m -3 m'
_space_group_IT_number 221
_space_group_name_Hall '-P 4 2 3'
_cell_length_a 4.7182
_cell_length_b 4.7182
_cell_length_c 4.7182
_cell_angle_alpha 90.00
_cell_angle_beta 90.00
_cell_angle_gamma 90.00
loop_
_atom_site_label
_atom_site_fract_x
_atom_site_fract_y
_atom_site_fract_z
Sr1 0.0000 0.0000 0.0000
Hg1 0.0000 0.5000 0.5000
# Crystal system: cubic
# Volume in Å³/f.u.: 105.0
# Energy of formation from the pure elements in meV/atom: -486
# DOS(E_F) in states/eV per atom: 0.530

---

# SrHg2 (SCAN, single point on PBEsol structure)
data_SrHg2
_chemical_formula_sum 'Sr4 Hg8'
_space_group_name_H-M_alt 'I m m m'
_space_group_IT_number 71
_space_group_name_Hall '-I 2 2'
_cell_length_a 4.2835
_cell_length_b 6.5044
_cell_length_c 12.1565
_cell_angle_alpha 90.00
_cell_angle_beta 90.00
_cell_angle_gamma 90.00
loop_
_atom_site_label
_atom_site_fract_x
_atom_site_fract_y
_atom_site_fract_z
Sr1 0.0000 0.0000 0.1711
Hg1 0.0000 0.2497 0.5000
Hg2 0.0000 0.5000 0.1279
# Crystal system: orthorhombic
# Volume in Å³/f.u.: 84.7
# Energy of formation from the pure elements in meV/atom: -581
# DOS(E_F) in states/eV per atom: 0.474

---

# SrHg2 (SCAN, single point on PBEsol structure)
data_SrHg2
_chemical_formula_sum 'Sr1 Hg2'
_space_group_name_H-M_alt 'P 6/m m m'
_space_group_IT_number 191
_space_group_name_Hall '-P 6 2'
_cell_length_a 4.9740
_cell_length_b 4.9740
_cell_length_c 3.8392
_cell_angle_alpha 90.00
_cell_angle_beta 90.00
_cell_angle_gamma 120.00
loop_
_atom_site_label
_atom_site_fract_x
_atom_site_fract_y
_atom_site_fract_z
Sr1 0.0000 0.0000 0.0000
Hg1 0.3333 0.6667 0.5000
# Crystal system: hexagonal
# Volume in Å³/f.u.: 82.3
# Energy of formation from the pure elements in meV/atom: -653
# DOS(E_F) in states/eV per atom: 0.556